[1]
# EuThCuIr, optimized geometry, DFT PBE
data_EuThCuIr
_cell_length_a 7.114
_cell_length_b 7.114
_cell_length_c 7.114
_cell_angle_alpha 90.00
_cell_angle_beta 90.00
_cell_angle_gamma 90.00
_symmetry_space_group_name_H-M 'F -4 3 m'
_symmetry_Int_Tables_number 216
_symmetry_space_group_name_Hall 'F -4 2 3'
loop_
_atom_site_label
_atom_site_fract_x
_atom_site_fract_y
_atom_site_fract_z
Eu1 0.000 0.000 0.000
Th1 0.000 0.000 0.500
Cu1 0.250 0.250 0.250
Ir1 0.250 0.250 0.750
# formation energy: -360 meV/atom

[2]
# EuTmCuIr, optimized geometry, DFT PBE
data_EuTmCuIr
_cell_length_a 6.931
_cell_length_b 6.931
_cell_length_c 6.931
_cell_angle_alpha 90.00
_cell_angle_beta 90.00
_cell_angle_gamma 90.00
_symmetry_space_group_name_H-M 'F -4 3 m'
_symmetry_Int_Tables_number 216
_symmetry_space_group_name_Hall 'F -4 2 3'
loop_
_atom_site_label
_atom_site_fract_x
_atom_site_fract_y
_atom_site_fract_z
Eu1 0.000 0.000 0.000
Tm1 0.000 0.000 0.500
Cu1 0.250 0.250 0.250
Ir1 0.250 0.250 0.750
# formation energy: -405 meV/atom

[3]
# EuZrCuIr, optimized geometry, DFT PBE
data_EuZrCuIr
_cell_length_a 6.809
_cell_length_b 6.809
_cell_length_c 6.809
_cell_angle_alpha 90.00
_cell_angle_beta 90.00
_cell_angle_gamma 90.00
_symmetry_space_group_name_H-M 'F -4 3 m'
_symmetry_Int_Tables_number 216
_symmetry_space_group_name_Hall 'F -4 2 3'
loop_
_atom_site_label
_atom_site_fract_x
_atom_site_fract_y
_atom_site_fract_z
Eu1 0.000 0.000 0.000
Zr1 0.000 0.000 0.500
Cu1 0.250 0.250 0.250
Ir1 0.250 0.250 0.750
# formation energy: -237 meV/atom

[4]
# KEu2Cu, optimized geometry, DFT PBE
data_KEu2Cu
_cell_length_a 3.763
_cell_length_b 3.763
_cell_length_c 10.784
_cell_angle_alpha 90.00
_cell_angle_beta 90.00
_cell_angle_gamma 90.00
_symmetry_space_group_name_H-M 'P 4/m m m'
_symmetry_Int_Tables_number 123
_symmetry_space_group_name_Hall '-P 4 2'
loop_
_atom_site_label
_atom_site_fract_x
_atom_site_fract_y
_atom_site_fract_z
K1 0.000 0.000 0.000
Eu1 0.500 0.500 0.340
Cu1 0.000 0.000 0.500
# excess energy over the best structure of this formula in the dataset: 0.00 eV per formula unit
# formation energy: 48 meV/atom

[5]
# KEu2Cu, optimized geometry, DFT PBE
data_KEu2Cu
_cell_length_a 4.2909
_cell_length_b 4.2909
_cell_length_c 34.7927
_cell_angle_alpha 90.00
_cell_angle_beta 90.00
_cell_angle_gamma 120.00
_symmetry_space_group_name_H-M 'R -3 m'
_symmetry_Int_Tables_number 166
_symmetry_space_group_name_Hall '-R 3 2"'
loop_
_atom_site_label
_atom_site_fract_x
_atom_site_fract_y
_atom_site_fract_z
K1 0.0000 0.0000 0.0000
Eu1 0.0000 0.0000 0.1199
Cu1 0.0000 0.0000 0.5000
# excess energy over the best structure of this formula in the dataset: 0.17 eV per formula unit
# formation energy: 91 meV/atom

[6]
# KEuCu2Te4, optimized geometry, DFT PBE
data_KEuCu2Te4
_cell_length_a 4.441
_cell_length_b 4.441
_cell_length_c 11.359
_cell_angle_alpha 90.00
_cell_angle_beta 90.00
_cell_angle_gamma 90.00
_symmetry_space_group_name_H-M 'P 4 m m'
_symmetry_Int_Tables_number 99
_symmetry_space_group_name_Hall 'P 4 -2'
loop_
_atom_site_label
_atom_site_fract_x
_atom_site_fract_y
_atom_site_fract_z
K1 0.000 0.000 0.000
Eu1 0.500 0.500 0.488
Cu1 0.000 0.500 0.725
Te1 0.000 0.000 0.581
Te2 0.000 0.500 0.264
Te3 0.500 0.500 0.852
# formation energy from raw total energies: -5.38 eV/f.u.

[7]
# LaEuCu2, optimized geometry, DFT PBE
data_LaEuCu2
_cell_length_a 3.658
_cell_length_b 3.658
_cell_length_c 7.277
_cell_angle_alpha 90.00
_cell_angle_beta 90.00
_cell_angle_gamma 90.00
_symmetry_space_group_name_H-M 'P 4/m m m'
_symmetry_Int_Tables_number 123
_symmetry_space_group_name_Hall '-P 4 2'
loop_
_atom_site_label
_atom_site_fract_x
_atom_site_fract_y
_atom_site_fract_z
La1 0.000 0.000 0.000
Eu1 0.000 0.000 0.500
Cu1 0.500 0.500 0.233
# excess energy over the best structure of this formula in the dataset: 0.00 eV per formula unit
# formation energy: -120 meV/atom

[8]
# LaEu3Cu, optimized geometry, DFT PBE
data_LaEu3Cu
_cell_length_a 5.755
_cell_length_b 5.755
_cell_length_c 5.755
_cell_angle_alpha 90.00
_cell_angle_beta 90.00
_cell_angle_gamma 90.00
_symmetry_space_group_name_H-M 'P m -3 m'
_symmetry_Int_Tables_number 221
_symmetry_space_group_name_Hall '-P 4 2 3'
loop_
_atom_site_label
_atom_site_fract_x
_atom_site_fract_y
_atom_site_fract_z
La1 0.000 0.000 0.000
Eu1 0.000 0.500 0.500
Cu1 0.500 0.500 0.500
# formation energy: 114 meV/atom

Number 1: volume 22.5 Å³/atom. Number 2: volume 20.8 Å³/atom. Number 3: volume 19.7 Å³/atom. Number 4: volume 38.2 Å³/atom. Number 5: volume 46.2 Å³/atom. Number 6: volume 28.0 Å³/atom. Number 7: volume 24.3 Å³/atom. Number 8: volume 38.1 Å³/atom.